Below is a relaxed structure of Sm2YIr2, with properties calculated at the PBE level.

CIF file:
```
data_Sm2YIr2
_chemical_formula_sum 'Sm4 Y2 Ir4'
_space_group_name_H-M_alt 'P 1 21/m 1'
_space_group_IT_number 11
_space_group_name_Hall '-P 2yb'
_cell_length_a 5.666
_cell_length_b 4.388
_cell_length_c 10.519
_cell_angle_alpha 90.00
_cell_angle_beta 95.03
_cell_angle_gamma 90.00
loop_
_atom_site_label
_atom_site_type_symbol
_atom_site_fract_x
_atom_site_fract_y
_atom_site_fract_z
_atom_site_occupancy
Sm1 Sm 0.109 0.250 0.378 1
Sm2 Sm 0.252 0.250 0.032 1
Y1 Y 0.395 0.250 0.704 1
Ir1 Ir 0.245 0.750 0.857 1
Ir2 Ir 0.341 0.750 0.523 1
```

Computed properties:
* calculated formation energy: -0.66 eV/atom


Below is a relaxed structure of Pm2HoErSb4, with properties calculated at the PBE level.

CIF file:
```
data_Pm2HoErSb4
_chemical_formula_sum 'Pm2 Ho1 Er1 Sb4'
_space_group_name_H-M_alt 'P 1 2/m 1'
_space_group_IT_number 10
_space_group_name_Hall '-P 2y'
_cell_length_a 7.663
_cell_length_b 4.431
_cell_length_c 7.669
_cell_angle_alpha 90.00
_cell_angle_beta 109.49
_cell_angle_gamma 90.00
loop_
_atom_site_label
_atom_site_type_symbol
_atom_site_fract_x
_atom_site_fract_y
_atom_site_fract_z
_atom_site_occupancy
Pm1 Pm 0.000 0.000 0.000 1
Pm2 Pm 0.000 0.500 0.500 1
Ho1 Ho 0.500 0.000 0.500 1
Er1 Er 0.500 0.500 0.000 1
Sb1 Sb 0.259 0.000 0.753 1
Sb2 Sb 0.259 0.500 0.252 1
```

Computed properties:
* uncorrected formation energy: -1.1429 eV/atom


Below is a relaxed structure of CaCdIn2, with properties calculated at the PBE level.

CIF file:
```
data_CaCdIn2
_chemical_formula_sum 'Ca2 Cd2 In4'
_space_group_name_H-M_alt 'I 4/m m m'
_space_group_IT_number 139
_space_group_name_Hall '-I 4 2'
_cell_length_a 4.674
_cell_length_b 4.674
_cell_length_c 9.702
_cell_angle_alpha 90.00
_cell_angle_beta 90.00
_cell_angle_gamma 90.00
loop_
_atom_site_label
_atom_site_type_symbol
_atom_site_fract_x
_atom_site_fract_y
_atom_site_fract_z
_atom_site_occupancy
Ca1 Ca 0.000 0.000 0.000 1
Cd1 Cd 0.000 0.000 0.500 1
In1 In 0.000 0.500 0.250 1
```

Computed properties:
* calculated formation energy: -0.24 eV/atom


Below is a relaxed structure of DyTh2Te2S2, with properties calculated at the PBE level.

CIF file:
```
data_DyTh2Te2S2
_chemical_formula_sum 'Dy2 Th4 Te4 S4'
_space_group_name_H-M_alt 'I 4/m m m'
_space_group_IT_number 139
_space_group_name_Hall '-I 4 2'
_cell_length_a 4.993
_cell_length_b 4.993
_cell_length_c 16.092
_cell_angle_alpha 90.00
_cell_angle_beta 90.00
_cell_angle_gamma 90.00
loop_
_atom_site_label
_atom_site_type_symbol
_atom_site_fract_x
_atom_site_fract_y
_atom_site_fract_z
_atom_site_occupancy
Dy1 Dy 0.000 0.000 0.000 1
Th1 Th 0.000 0.000 0.389 1
Te1 Te 0.000 0.000 0.187 1
S1 S 0.000 0.500 0.000 1
```

Computed properties:
* uncorrected formation energy: -1.2197 eV/atom


Below is a relaxed structure of MgB2S, with properties calculated at the PBE level.

CIF file:
```
data_MgB2S
_chemical_formula_sum 'Mg2 B4 S2'
_space_group_name_H-M_alt 'P 1'
_space_group_IT_number 1
_space_group_name_Hall 'P 1'
_cell_length_a 3.306
_cell_length_b 3.719
_cell_length_c 10.270
_cell_angle_alpha 88.82
_cell_angle_beta 89.46
_cell_angle_gamma 89.97
loop_
_atom_site_label
_atom_site_type_symbol
_atom_site_fract_x
_atom_site_fract_y
_atom_site_fract_z
_atom_site_occupancy
Mg1 Mg 0.000 0.000 0.000 1
Mg2 Mg 0.492 0.488 0.225 1
B1 B 0.169 0.600 0.562 1
B2 B 0.416 0.885 0.663 1
B3 B 0.669 0.596 0.563 1
B4 B 0.916 0.892 0.661 1
S1 S 0.501 0.502 0.973 1
S2 S 0.992 0.987 0.252 1
```

Computed properties:
* uncorrected formation energy: -0.2826 eV/atom
* relative energy among the computed polymorphs: 96.9 meV/atom


Below is a relaxed structure of TmVFe4, with properties calculated at the PBE level.

CIF file:
```
data_TmVFe4
_chemical_formula_sum 'Tm4 V4 Fe16'
_space_group_name_H-M_alt 'F -4 3 m'
_space_group_IT_number 216
_space_group_name_Hall 'F -4 2 3'
_cell_length_a 6.956
_cell_length_b 6.956
_cell_length_c 6.956
_cell_angle_alpha 90.00
_cell_angle_beta 90.00
_cell_angle_gamma 90.00
loop_
_atom_site_label
_atom_site_type_symbol
_atom_site_fract_x
_atom_site_fract_y
_atom_site_fract_z
_atom_site_occupancy
Tm1 Tm 0.000 0.000 0.000 1
V1 V 0.250 0.250 0.250 1
Fe1 Fe 0.124 0.124 0.624 1
```

Computed properties:
* calculated formation energy: -0.06 eV/atom


no.,DOS at the Fermi energy (states/eV per atom)
1,0.63
2,0.14
3,0.60
4,0.83
5,0.12
6,0.70